No. 1
Material: NiNO2F
Method: DFT, PBE with a Hubbard U
State: optimized geometry

```
NiNO2F
1.0
3.8184 0.0000 0.0000
0.0000 3.8184 0.0000
0.0000 0.0000 3.9010
Ni N O F
1 1 2 1
Cartesian
0.0000 0.0000 0.0000 Ni
1.9092 1.9092 1.9505 N
0.0000 1.9092 0.0000 O
1.9092 0.0000 0.0000 O
0.0000 0.0000 1.9505 F
```

E = -18.4 eV for the cell shown

No. 2
Material: NiNO2F
Method: DFT, PBE with a Hubbard U
State: optimized geometry

```
NiNO2F
1.0
4.1706 0.0000 0.0000
0.0000 4.1706 0.0000
0.0000 0.0000 3.3389
Ni N O F
1 1 2 1
Cartesian
0.0000 0.0000 0.0000 Ni
2.0853 2.0853 0.0000 N
0.0000 2.0853 1.6694 O
2.0853 0.0000 1.6694 O
2.0853 2.0853 1.6694 F
```

E = -14.0 eV for the cell shown

No. 3
Material: NiN2OF
Method: DFT, PBE with a Hubbard U
State: optimized geometry

```
NiN2OF
1.0
3.7640 0.0000 0.0000
0.0000 3.7640 0.0000
0.0000 0.0000 3.7645
Ni N O F
1 2 1 1
Cartesian
0.0000 0.0000 0.0000 Ni
0.0000 1.8820 0.0000 N
1.8820 0.0000 0.0000 N
1.8820 1.8820 1.8822 O
0.0000 0.0000 1.8822 F
```

E = -17.7 eV for the cell shown

No. 4
Material: NiOsNF2
Method: DFT, PBE with a Hubbard U
State: optimized geometry

```
NiOsNF2
1.0
4.2182 0.0000 0.0000
0.0000 4.2182 0.0000
0.0000 0.0000 3.7531
Ni Os N F
1 1 1 2
Cartesian
0.0000 0.0000 0.0000 Ni
2.1091 2.1091 1.8765 Os
2.1091 2.1091 0.0000 N
0.0000 2.1091 1.8765 F
2.1091 0.0000 1.8765 F
```

Distance to the lowest polymorph of the same formula = 0.00 eV/f.u.
E = -26.0 eV for the cell shown